Density functional theory data (GGA-PBE) for LiAl2GaBr after structural relaxation.

```
LiAl2GaBr
1.0
4.932 0.000 0.000
0.000 4.932 0.000
0.000 0.000 5.856
Li Al Ga Br
1 2 1 1
direct
0.000 0.000 0.000 Li
0.000 0.500 0.500 Al
0.500 0.000 0.500 Al
0.500 0.500 0.500 Ga
0.500 0.500 0.000 Br
```

Values from the calculation:
- uncorrected formation energy (kJ per mole of atoms) = 23.5

---

Density functional theory data (GGA-PBE) for Nd2ErBi4 after structural relaxation.

```
Nd2ErBi4
1.0
4.503 0.000 0.000
0.000 4.503 0.000
0.000 0.000 11.807
Nd Er Bi
2 1 4
direct
0.000 0.500 0.215 Nd
0.500 0.000 0.785 Nd
0.000 0.000 0.500 Er
0.000 0.000 0.000 Bi
0.000 0.500 0.678 Bi
0.500 0.000 0.322 Bi
0.500 0.500 0.000 Bi
```

Values from the calculation:
- ΔH_f (0 K) (eV/f.u.) = -4.40

---

Density functional theory data (GGA-PBE) for LaYCd4 after structural relaxation.

```
LaYCd4
1.0
3.505 0.000 0.000
0.000 5.051 0.000
0.000 0.000 8.760
La Y Cd
1 1 4
direct
0.000 0.000 0.000 La
0.000 0.500 0.500 Y
0.500 0.000 0.339 Cd
0.500 0.000 0.661 Cd
0.500 0.500 0.173 Cd
0.500 0.500 0.827 Cd
```

Values from the calculation:
- ΔH_f (0 K) (eV/f.u.) = -2.10

---

Density functional theory data (GGA-PBE) for PuTaSe2 after structural relaxation.

```
PuTaSe2
1.0
3.421 0.000 0.000
-1.711 2.963 0.000
0.000 0.000 28.247
Pu Ta Se
3 3 6
direct
0.000 0.000 0.000 Pu
0.333 0.667 0.667 Pu
0.667 0.333 0.333 Pu
0.000 0.000 0.500 Ta
0.333 0.667 0.167 Ta
0.667 0.333 0.833 Ta
0.000 0.000 0.106 Se
0.000 0.000 0.894 Se
0.333 0.667 0.561 Se
0.333 0.667 0.772 Se
0.667 0.333 0.228 Se
0.667 0.333 0.439 Se
```

Values from the calculation:
- uncorrected formation energy (kJ per mole of atoms) = -47.2